1.
The following is a DFT calculation (PBE) of an optimized crystal structure of UTl2InTe5.

* magnetization: 0.129 μB per atom
* total energy: -4.2279 eV per atom
* ΔE_f (raw): -3.584 eV/f.u.
* space group: No. 36
* DOS at the Fermi energy: 0.784 states/eV/atom

Cell and atoms, written as POSCAR:
```
UTl2InTe5
1.0
2.221 -10.033 0.000
2.221 10.033 0.000
0.000 0.000 14.772
U Tl In Te
2 4 2 10
Cartesian
2.221 5.924 7.386 U
2.221 -5.924 0.000 U
2.221 7.680 2.159 Tl
2.221 7.646 11.840 Tl
2.221 -7.646 4.454 Tl
2.221 -7.680 9.545 Tl
2.221 1.253 13.250 In
2.221 -1.253 5.864 In
2.221 9.023 7.691 Te
2.221 4.169 2.006 Te
2.221 4.090 12.651 Te
2.221 3.046 7.114 Te
2.221 0.084 3.482 Te
2.221 -0.084 10.868 Te
2.221 -3.046 14.500 Te
2.221 -4.090 5.265 Te
2.221 -4.169 9.392 Te
2.221 -9.023 0.305 Te
```

=====

2.
The following is a DFT calculation (PBE) of an optimized crystal structure of Y2Tl3InTe6.

* magnetization: 0.000 μB per atom
* total energy: -4.2559 eV per atom
* ΔE_f (raw): -9.456 eV/f.u.
* space group: No. 12
* DOS at the Fermi energy: 0.123 states/eV/atom

Cell and atoms, written as POSCAR:
```
Y2Tl3InTe6
1.0
3.860 -6.680 0.000
3.860 6.680 0.000
-2.579 0.000 8.110
Y Tl In Te
2 3 1 6
Cartesian
3.860 4.469 0.000 Y
3.860 -4.469 0.000 Y
-1.289 0.000 4.055 Tl
2.571 2.296 4.055 Tl
2.571 -2.296 4.055 Tl
3.860 0.000 0.000 In
0.023 2.188 6.406 Te
1.323 0.000 1.748 Te
0.023 -2.188 6.406 Te
5.119 2.188 1.704 Te
3.819 0.000 6.362 Te
5.119 -2.188 1.704 Te
```

=====

3.
The following is a DFT calculation (PBE) of an optimized crystal structure of YTlInTe3.

* magnetization: 0.000 μB per atom
* total energy: -4.2135 eV per atom
* ΔE_f (raw): -4.287 eV/f.u.
* space group: No. 11
* DOS at the Fermi energy: 0.333 states/eV/atom

Cell and atoms, written as POSCAR:
```
YTlInTe3
1.0
9.444 0.000 0.000
0.000 4.467 0.000
-2.774 0.000 11.138
Y Tl In Te
2 2 2 6
Cartesian
1.182 1.117 1.363 Y
5.488 3.350 9.776 Y
0.703 3.350 8.970 Tl
5.967 1.117 2.168 Tl
3.278 3.350 4.105 In
3.392 1.117 7.033 In
-1.839 1.117 9.439 Te
1.374 1.117 4.559 Te
3.347 3.350 1.155 Te
3.323 1.117 9.984 Te
5.296 3.350 6.579 Te
8.509 3.350 1.699 Te
```

=====

4.
The following is a DFT calculation (PBE) of an optimized crystal structure of Y3Tl3InTe8.

* magnetization: 0.000 μB per atom
* total energy: -4.4683 eV per atom
* ΔE_f (raw): -12.662 eV/f.u.
* space group: No. 12
* DOS at the Fermi energy: 0.550 states/eV/atom

Cell and atoms, written as POSCAR:
```
Y3Tl3InTe8
1.0
7.625 -4.396 0.000
7.625 4.396 0.000
-5.090 0.000 8.158
Y Tl In Te
3 3 1 8
Cartesian
0.000 0.000 0.000 Y
3.813 2.198 0.000 Y
3.813 -2.198 0.000 Y
1.268 2.198 4.079 Tl
1.268 -2.198 4.079 Tl
5.080 0.000 4.079 Tl
7.625 0.000 0.000 In
2.540 0.000 1.769 Te
6.369 2.171 1.730 Te
0.031 0.000 6.430 Te
3.792 2.171 6.428 Te
6.369 -2.171 1.730 Te
10.130 0.000 1.728 Te
3.792 -2.171 6.428 Te
7.621 0.000 6.389 Te
```

=====

5.
The following is a DFT calculation (PBE) of an optimized crystal structure of Tm2InTe5.

* magnetization: 0.000 μB per atom
* total energy: -4.2291 eV per atom
* ΔE_f (raw): -6.443 eV/f.u.
* space group: No. 63
* DOS at the Fermi energy: 0.652 states/eV/atom

Cell and atoms, written as POSCAR:
```
Tm2InTe5
1.0
3.061 -7.392 0.000
3.061 7.392 0.000
0.000 0.000 13.500
Tm In Te
4 2 10
Cartesian
3.061 4.919 7.621 Tm
3.061 4.919 12.629 Tm
3.061 -4.919 0.871 Tm
3.061 -4.919 5.879 Tm
3.061 4.463 3.375 In
3.061 -4.463 10.125 In
3.061 6.891 1.441 Te
3.061 6.891 5.309 Te
3.061 3.240 10.125 Te
3.061 2.594 1.064 Te
3.061 2.594 5.686 Te
3.061 -2.594 7.814 Te
3.061 -2.594 12.436 Te
3.061 -3.240 3.375 Te
3.061 -6.891 8.191 Te
3.061 -6.891 12.059 Te
```

=====

6.
The following is a DFT calculation (PBE) of an optimized crystal structure of Tm2InTe.

* ΔE to the lowest computed polymorph: 0.1496 eV/atom
* magnetization: 0.000 μB per atom
* total energy: -4.3979 eV per atom
* ΔE_f (raw): -2.768 eV/f.u.
* space group: No. 160
* DOS at the Fermi energy: 0.791 states/eV/atom

Cell and atoms, written as POSCAR:
```
Tm2InTe
1.0
1.983 1.145 8.426
-1.983 1.145 8.426
0.000 -2.290 8.426
Tm In Te
2 1 1
Cartesian
0.000 0.000 0.000 Tm
0.000 0.000 4.454 Tm
0.000 0.000 19.092 In
0.000 0.000 14.843 Te
```

=====

7.
The following is a DFT calculation (PBE) of an optimized crystal structure of Tm4InTe2.

* magnetization: 0.000 μB per atom
* total energy: -4.5592 eV per atom
* ΔE_f (raw): -5.007 eV/f.u.
* space group: No. 70
* DOS at the Fermi energy: 0.873 states/eV/atom

Cell and atoms, written as POSCAR:
```
Tm4InTe2
1.0
0.000 6.692 6.727
4.629 0.000 6.727
4.629 6.692 0.000
Tm In Te
8 2 4
Cartesian
2.975 2.950 2.949 Tm
6.284 6.297 6.313 Tm
3.969 7.088 2.949 Tm
3.969 2.950 7.141 Tm
5.289 10.434 6.313 Tm
5.289 6.297 10.504 Tm
2.975 7.088 7.141 Tm
6.284 10.434 10.504 Tm
3.472 5.019 5.045 In
5.786 8.365 8.409 In
0.000 0.000 0.000 Te
2.315 3.346 0.000 Te
2.315 0.000 3.363 Te
0.000 3.346 3.363 Te
```

=====

8.
The following is a DFT calculation (PBE) of an optimized crystal structure of Tm10In3Te3.

* magnetization: 0.000 μB per atom
* total energy: -4.5513 eV per atom
* ΔE_f (raw): -10.465 eV/f.u.
* space group: No. 189
* DOS at the Fermi energy: 0.507 states/eV/atom

Cell and atoms, written as POSCAR:
```
Tm10In3Te3
1.0
8.881 0.000 0.000
-4.441 7.692 0.000
0.000 0.000 6.328
Tm In Te
10 3 3
Cartesian
-1.071 1.855 0.000 Tm
-3.391 5.873 3.164 Tm
1.050 1.819 3.164 Tm
2.142 0.000 0.000 Tm
0.000 5.128 1.594 Tm
0.000 5.128 4.734 Tm
4.441 2.564 1.594 Tm
4.441 2.564 4.734 Tm
3.370 5.837 0.000 Tm
6.781 0.000 3.164 Tm
-1.745 3.023 3.164 In
3.490 0.000 3.164 In
2.696 4.669 3.164 In
-2.713 4.698 0.000 Te
1.728 2.993 0.000 Te
5.425 0.000 0.000 Te
```

=====

9.
The following is a DFT calculation (PBE) of an optimized crystal structure of Tm2InTe.

* ΔE to the lowest computed polymorph: 0.1738 eV/atom
* magnetization: 0.000 μB per atom
* total energy: -4.3736 eV per atom
* ΔE_f (raw): -2.671 eV/f.u.
* space group: No. 123
* DOS at the Fermi energy: 0.799 states/eV/atom

Cell and atoms, written as POSCAR:
```
Tm2InTe
1.0
3.632 0.000 0.000
0.000 3.632 0.000
0.000 0.000 8.038
Tm In Te
2 1 1
Cartesian
0.000 0.000 1.928 Tm
0.000 0.000 6.111 Tm
1.816 1.816 4.019 In
1.816 1.816 0.000 Te
```

=====

10.
The following is a DFT calculation (PBE) of an optimized crystal structure of Tm2InTe4.

* ΔE to the lowest computed polymorph: 0.0000 eV/atom
* magnetization: 0.000 μB per atom
* total energy: -4.4877 eV per atom
* ΔE_f (raw): -7.166 eV/f.u.
* space group: No. 227
* DOS at the Fermi energy: 0.328 states/eV/atom

Cell and atoms, written as POSCAR:
```
Tm2InTe4
1.0
0.000 6.354 6.354
6.354 0.000 6.354
6.354 6.354 0.000
Tm In Te
4 2 8
Cartesian
0.000 0.000 0.000 Tm
3.177 3.177 0.000 Tm
3.177 0.000 3.177 Tm
0.000 3.177 3.177 Tm
4.765 4.765 4.765 In
7.942 7.942 7.942 In
9.654 6.230 6.230 Te
3.053 3.053 3.053 Te
6.477 6.477 3.053 Te
6.477 3.053 6.477 Te
6.230 9.654 6.230 Te
6.230 6.230 9.654 Te
9.654 9.654 9.654 Te
3.053 6.477 6.477 Te
```

=====

11.
The following is a DFT calculation (PBE) of an optimized crystal structure of Tm3InTe.

* magnetization: 0.000 μB per atom
* total energy: -4.4222 eV per atom
* ΔE_f (raw): -2.816 eV/f.u.
* space group: No. 15
* DOS at the Fermi energy: 0.822 states/eV/atom

Cell and atoms, written as POSCAR:
```
Tm3InTe
1.0
7.213 -5.409 0.000
7.213 5.409 0.000
-0.145 0.000 7.600
Tm In Te
12 4 4
Cartesian
2.043 1.516 7.299 Tm
5.825 2.984 4.397 Tm
2.115 -1.516 3.499 Tm
8.384 2.984 7.003 Tm
5.646 0.565 6.902 Tm
5.719 -0.565 3.102 Tm
8.563 0.565 4.498 Tm
8.635 -0.565 0.698 Tm
5.897 -2.984 0.597 Tm
12.166 1.516 4.101 Tm
8.456 -2.984 3.203 Tm
12.238 -1.516 0.301 Tm
7.177 5.342 1.900 In
7.177 1.932 1.900 In
7.104 -1.932 5.700 In
7.104 -5.342 5.700 In
3.545 0.922 4.658 Te
3.617 -0.922 0.858 Te
10.664 0.922 6.741 Te
10.736 -0.922 2.941 Te
```